# Y2ThAu PBE optimized geometry
# total moment	0.000	μB per cell
# ΔE_f	-0.410	eV per atom
# V	110.2	Å³ per cell
data_Y2ThAu
_chemical_formula_sum 'Y2 Th1 Au1'
_cell_length_a 3.6257
_cell_length_b 3.6257
_cell_length_c 8.3829
_cell_angle_alpha 90.00
_cell_angle_beta 90.00
_cell_angle_gamma 90.00
_symmetry_space_group_name_H-M 'P 4/m m m'
_symmetry_Int_Tables_number 123
_symmetry_space_group_name_Hall '-P 4 2'
loop_
_atom_site_label
_atom_site_type_symbol
_atom_site_fract_x
_atom_site_fract_y
_atom_site_fract_z
Y1 Y 0.0000 0.0000 0.2101
Th1 Th 0.5000 0.5000 0.5000
Au1 Au 0.5000 0.5000 0.0000